# 1
Computed, not measured: a relaxed CaTlGa2 crystal at the GGA-PBE level of DFT.

Summary:
DOS(E_F) ... 3.666 states/eV per cell
Spin magnetization ... 0.00 μB/f.u.
Formation enthalpy at 0 K ... -31 meV per atom
DFT total energy ... -21.1 eV/cell

abc: 4.6741 4.6741 10.6974
angles: 77.38 77.38 90.00
Last column: nearest neighbours and their distance in Å.
Fractional coordinates of all 8 atoms:
Ga 0.8750 0.9848 0.7500  2 Ga 2.68, 2 Tl 2.87
Ga 0.3750 0.2652 0.7500  2 Ga 2.68, 2 Tl 2.87
Ga 0.7348 0.1250 0.2500  2 Ga 2.68, 2 Tl 2.87
Tl 0.0000 0.0000 0.0000  4 Ga 2.87
Ca 0.5000 0.5000 0.0000  4 Ga 3.27, 4 Tl 3.31
Tl 0.7500 0.2500 0.5000  4 Ga 2.87
Ga 0.0152 0.6250 0.2500  2 Ga 2.68, 2 Tl 2.87
Ca 0.2500 0.7500 0.5000  4 Ga 3.27, 4 Tl 3.31


# 2
Computed, not measured: a relaxed U2CuSe5 crystal at the GGA-PBE level of DFT.

Summary:
Formation energy (no corrections) ... -757 meV/atom
DOS(E_F) ... 18.800 states/eV per cell
Spin magnetization ... 3.00 μB/f.u.
Excess energy over the best structure of this formula in the dataset ... 67 kJ/mol of formula units
DFT total energy ... -100.3 eV/cell

abc: 5.5070 7.0803 13.3713
angles: 90.00 90.00 112.89
Last column: nearest neighbours and their distance in Å.
Fractional coordinates of all 16 atoms:
Se 0.9473 0.8945 0.8791  1 Cu 2.44, 1 U 2.72
Se 0.0527 0.1055 0.1209  1 Cu 2.44, 1 U 2.72
U 0.8528 0.7057 0.0631  6 Se 2.72-2.85
Se 0.6669 0.3337 0.5487  3 U 2.77-2.85
Se 0.0527 0.1055 0.3791  1 Cu 2.44, 1 U 2.72
Cu 0.8151 0.6302 0.7500  2 Se 2.44
Se 0.6669 0.3337 0.9513  3 U 2.77-2.85
Se 0.3331 0.6663 0.0487  3 U 2.77-2.85
Se 0.2473 0.4947 0.7500  2 U 2.82, 2 Cu 2.89
U 0.1472 0.2943 0.5631  6 Se 2.72-2.85
Cu 0.1849 0.3698 0.2500  2 Se 2.44
Se 0.9473 0.8945 0.6209  1 Cu 2.44, 1 U 2.72
Se 0.3331 0.6663 0.4513  3 U 2.77-2.85
Se 0.7527 0.5053 0.2500  2 U 2.82, 2 Cu 2.89
U 0.8528 0.7057 0.4369  6 Se 2.72-2.85
U 0.1472 0.2943 0.9369  6 Se 2.72-2.85


# 3
Computed, not measured: a relaxed AlCu2SbPd crystal at the GGA-PBE level of DFT.

Summary:
Formation energy (no corrections) ... 561 meV/atom
DOS(E_F) ... 1.084 states/eV per cell
Spin magnetization ... 0.00 μB/f.u.
Excess energy over the best structure of this formula in the dataset ... 0 kJ/mol of formula units
DFT total energy ... -18.4 eV/cell

abc: 4.7868 5.0991 4.7868
angles: 90.00 90.00 90.00
Last column: nearest neighbours and their distance in Å.
Fractional coordinates of all 5 atoms:
Sb 0.0000 0.0000 0.0000  4 Cu 2.39, 2 Pd 2.55
Pd 0.0000 0.5000 0.0000  2 Sb 2.55
Cu 0.5000 0.0000 0.0000  2 Sb 2.39
Cu 0.0000 0.0000 0.5000  2 Sb 2.39
Al 0.5000 0.5000 0.5000  4 Pd 3.38, 8 Cu 3.50


# 4
Computed, not measured: a relaxed Sc2As crystal at the GGA-PBE level of DFT.

Summary:
DOS(E_F) ... 6.565 states/eV per cell
Spin magnetization ... 0.00 μB/f.u.
Formation enthalpy at 0 K ... -538 meV per atom
DFT total energy ... -37.9 eV/cell

abc: 12.1241 12.1241 12.1241
angles: 163.91 163.91 22.84
Last column: nearest neighbours and their distance in Å.
Fractional coordinates of all 6 atoms:
As 0.2500 0.7500 0.5000  8 Sc 2.84
Sc 0.0635 0.0635 0.0000  4 As 2.84, 1 Sc 3.02
Sc 0.6865 0.1865 0.5000  4 As 2.84, 1 Sc 3.02
Sc 0.9365 0.9365 0.0000  4 As 2.84, 1 Sc 3.02
As 0.5000 0.5000 0.0000  8 Sc 2.84
Sc 0.8135 0.3135 0.5000  4 As 2.84, 1 Sc 3.02


# 5
Computed, not measured: a relaxed CoPdPt3 crystal at the GGA-PBE level of DFT.

Summary:
DOS(E_F) ... 4.379 states/eV per cell
Spin magnetization ... 2.76 μB/f.u.
Formation enthalpy at 0 K ... 954 meV per atom
Excess energy over the best structure of this formula in the dataset ... 490 kJ/mol of formula units
DFT total energy ... -25.6 eV/cell

abc: 4.5199 4.5199 4.5199
angles: 90.00 90.00 90.00
Last column: nearest neighbours and their distance in Å.
Fractional coordinates of all 5 atoms:
Pt 0.0000 0.5000 0.0000  2 Co 2.26
Pt 0.0000 0.0000 0.5000  2 Co 2.26
Co 0.0000 0.0000 0.0000  6 Pt 2.26
Pt 0.5000 0.0000 0.0000  2 Co 2.26
Pd 0.5000 0.5000 0.5000  12 Pt 3.20


# 6
Computed, not measured: a relaxed Th4Tc2Sn crystal at the GGA-PBE level of DFT.

Summary:
DOS(E_F) ... 11.316 states/eV per cell
Spin magnetization ... 0.00 μB/f.u.
Formation enthalpy at 0 K ... -241 meV per atom
Excess energy over the best structure of this formula in the dataset ... 22 kJ/mol of formula units
DFT total energy ... -112.2 eV/cell

abc: 7.0041 7.1735 8.8601
angles: 107.71 106.95 104.78
Last column: nearest neighbours and their distance in Å.
Fractional coordinates of all 14 atoms:
Th 0.8191 0.5891 0.5918  1 Tc 2.67
Tc 0.1134 0.5599 0.9370  4 Th 2.67-2.98, 1 Sn 2.83
Th 0.7490 0.1914 0.8000  2 Tc 2.79-2.91
Th 0.1992 0.1441 0.6999  2 Tc 2.79-2.92
Tc 0.5940 0.2284 0.0754  4 Th 2.69-2.93
Th 0.9732 0.2024 0.3017  3 Tc 2.91-3.00
Th 0.4763 0.7480 0.9094  1 Tc 2.67
Tc 0.7696 0.9028 0.4224  4 Th 2.69-2.92
Th 0.3759 0.4616 0.1838  2 Tc 2.69-2.81
Sn 0.3316 0.7244 0.5307  1 Tc 2.83, 1 Th 3.15
Th 0.9204 0.6496 0.1959  3 Tc 2.90-2.98
Sn 0.0579 0.9459 0.9697  1 Tc 2.83, 1 Th 3.15
Th 0.4426 0.0283 0.3192  2 Tc 2.69-2.80
Tc 0.4277 0.3743 0.5631  3 Th 2.67-2.80, 1 Sn 2.83


# 7
Computed, not measured: a relaxed Y2BIrAu crystal at the GGA-PBE level of DFT.

Summary:
DOS(E_F) ... 2.613 states/eV per cell
Spin magnetization ... 0.00 μB/f.u.
Formation enthalpy at 0 K ... -644 meV per atom
DFT total energy ... -35.0 eV/cell

abc: 5.1046 5.1046 3.9417
angles: 90.00 90.00 90.00
Last column: nearest neighbours and their distance in Å.
Fractional coordinates of all 5 atoms:
B 0.0000 0.0000 0.0000  2 Ir 1.97
Y 0.5000 0.0000 0.0000  2 B 2.55
Y 0.0000 0.5000 0.0000  2 B 2.55
Au 0.5000 0.5000 0.5000  8 Y 3.22, 4 Ir 3.61
Ir 0.0000 0.0000 0.5000  2 B 1.97


# 8
Computed, not measured: a relaxed LaYMgPb crystal at the GGA-PBE level of DFT.

Summary:
DOS(E_F) ... 3.285 states/eV per cell
Spin magnetization ... 0.00 μB/f.u.
Formation enthalpy at 0 K ... -340 meV per atom
DFT total energy ... -18.1 eV/cell

abc: 5.4926 5.4926 5.4926
angles: 60.00 60.00 60.00
Last column: nearest neighbours and their distance in Å.
Fractional coordinates of all 4 atoms:
Mg 0.0000 0.0000 0.0000  4 Y 3.36, 4 La 3.36
Pb 0.5000 0.5000 0.5000  4 La 3.36, 4 Y 3.36
Y 0.7500 0.7500 0.7500  4 Pb 3.36, 4 Mg 3.36
La 0.2500 0.2500 0.2500  4 Mg 3.36, 4 Pb 3.36


Q: The highest spin magnetization belongs to which entry?
A: U2CuSe5


Q: Number 8 is which compound?
A: LaYMgPb